Compound: Er8Tm5In
Source: the Alexandria database
Functional: GGA-PBE
Structure: optimized geometry

Unit cell a=8.2911 b=8.2911 c=8.2911 alpha=110.38 beta=107.67 gamma=110.38
Last column: nearest neighbours and their distance in Å.
Atoms (fractional coordinates):
Tm1 0.2886 0.1039 0.9771  8 Er 3.28-3.55, 2 Tm 3.49
In1 0.2500 0.5000 0.7500  4 Er 3.12
Er1 0.7340 0.2572 0.3414  5 Tm 3.27-3.55, 4 Er 3.55-3.62
Er2 0.3415 0.2703 0.4352  4 Tm 3.08-3.38, 1 In 3.12
Er3 0.0842 0.7428 0.4769  5 Tm 3.27-3.55, 4 Er 3.55-3.62
Er4 0.1649 0.7297 0.0712  4 Tm 3.08-3.38, 1 In 3.12
Er5 0.6586 0.3927 0.9158  5 Tm 3.27-3.55, 4 Er 3.55-3.62
Tm2 0.0229 0.3115 0.1268  8 Er 3.28-3.55, 2 Tm 3.49
Tm3 0.8153 0.6885 0.7114  8 Er 3.28-3.55, 2 Tm 3.49
Er6 0.9288 0.0937 0.6585  4 Tm 3.08-3.38, 1 In 3.12
Er7 0.5648 0.9063 0.8351  4 Tm 3.08-3.38, 1 In 3.12
Tm4 0.8732 0.8961 0.1847  8 Er 3.28-3.55, 2 Tm 3.49
Er8 0.5231 0.6073 0.2660  5 Tm 3.27-3.55, 4 Er 3.55-3.62
Tm5 0.5000 0.0000 0.5000  8 Er 3.08-3.27

## Properties
- crystal system = tetragonal
- E_tot (eV/cell) = -58.96
- formation energy (kJ per mole of atoms) = 18.16
- space group = No. 82